Below is a geometry-optimized LiBeCoRu2 structure, with properties calculated at the PBE-GGA level.

Summary:
VASP energy in eV per atom: -5.300
Crystal system: tetragonal
Space-group type: No. 123

Unit cell a=4.413 b=4.006 c=4.413 alpha=90.00 beta=90.00 gamma=90.00
Element x y z (fractional)
Be1 0.000 0.500 0.000
Co1 0.000 0.000 0.000
Li1 0.500 0.500 0.500
Ru1 0.500 0.000 0.000
Ru2 0.000 0.000 0.500